Below is YNiSb2S after structural relaxation, with properties calculated at the GGA-PBE level.

Magnetization = 0.00 μB per cell
DOS at the Fermi energy = 5.633 states/eV/f.u.
Formation energy without anion corrections = -139 meV/atom

abc: 5.460 5.460 4.060
angles: 90.00 90.00 90.00
Space group P4/mmm (No. 123)
Unique sites:
Y 0.000 0.000 0.000 [1 per cell]
Ni 0.500 0.500 0.000 [1 per cell]
Sb 0.000 0.500 0.500 [2 per cell]
S 0.500 0.500 0.500 [1 per cell]

***

Below is Li2NdThSe4 after structural relaxation, with properties calculated at the GGA-PBE level.

Magnetization = 0.00 μB per cell
DOS at the Fermi energy = 3.396 states/eV/f.u.
Formation energy without anion corrections = -1569 meV/atom

abc: 7.006 4.147 7.181
angles: 90.00 109.84 90.00
Space group P2/m (No. 10)
Unique sites:
Li 0.000 0.000 0.000 [1 per cell]
Li 0.000 0.500 0.500 [1 per cell]
Nd 0.500 0.000 0.500 [1 per cell]
Th 0.500 0.500 0.000 [1 per cell]
Se 0.234 0.000 0.748 [2 per cell]
Se 0.235 0.500 0.241 [2 per cell]

***

Below is La8Y2Pb after structural relaxation, with properties calculated at the GGA-PBE level.

Magnetization = 0.00 μB per cell
Formation energy = -0.059 eV per atom
DOS at the Fermi energy = 18.068 states/eV/f.u.

abc: 20.316 5.911 6.577
angles: 90.00 95.64 90.00
Space group C2/m (No. 12)
Unique sites:
La 0.042 0.000 0.254 [4 per cell]
La 0.083 0.500 0.591 [4 per cell]
La 0.159 0.000 0.789 [4 per cell]
La 0.165 0.500 0.110 [4 per cell]
Y 0.237 0.000 0.343 [4 per cell]
Pb 0.000 0.500 0.000 [2 per cell]

***

Below is Ce3Er2Ru4 after structural relaxation, with properties calculated at the GGA-PBE level.

Magnetization = 0.00 μB per cell
Formation energy = -0.364 eV per atom
DOS at the Fermi energy = 7.448 states/eV/f.u.

abc: 11.249 4.253 8.932
angles: 90.00 106.46 90.00
Space group C2/m (No. 12)
Unique sites:
Ce 0.000 0.000 0.000 [2 per cell]
Ce 0.120 0.500 0.414 [4 per cell]
Er 0.184 0.500 0.824 [4 per cell]
Ru 0.120 0.000 0.601 [4 per cell]
Ru 0.123 0.500 0.121 [4 per cell]

***

Below is Ac2TcB12Os3 after structural relaxation, with properties calculated at the GGA-PBE level.

Magnetization = 0.00 μB per cell
Formation energy = 0.547 eV per atom
DOS at the Fermi energy = 8.221 states/eV/f.u.

abc: 7.9349 7.9349 21.4573
angles: 90.00 90.00 120.00
Space group R-3m (No. 166, hexagonal axes)
Unique sites:
Ac 0.0000 0.0000 0.2359 [6 per cell]
Tc 0.0000 0.0000 0.5000 [3 per cell]
B 0.0847 0.1694 0.4170 [18 per cell]
B 0.1080 0.2161 0.6415 [18 per cell]
Os 0.0000 0.5000 0.0000 [9 per cell]

***

Below is NdHfAl4 after structural relaxation, with properties calculated at the GGA-PBE level.

Magnetization = 0.00 μB per cell
Formation energy = -0.398 eV per atom
DOS at the Fermi energy = 2.498 states/eV/f.u.

abc: 7.766 7.766 7.766
angles: 90.00 90.00 90.00
Space group F-43m (No. 216)
Unique sites:
Nd 0.000 0.000 0.000 [4 per cell]
Hf 0.250 0.250 0.250 [4 per cell]
Al 0.124 0.124 0.624 [16 per cell]